This record from Alexandria describes a relaxed HfVPCl2 crystal. The functional is PBE.

Unit cell a=4.7541 b=4.7541 c=4.9034 alpha=90.00 beta=90.00 gamma=90.00
Atoms (fractional coordinates):
P1 0.0000 0.0000 0.0000
Cl1 0.0000 0.5000 0.0000
Cl2 0.5000 0.0000 0.0000
Hf1 0.5000 0.5000 0.5000
V1 0.0000 0.0000 0.5000

Computed properties:
**ΔE_f (raw)**: 0.848 eV/atom
**Volume**: 22.165 Å³/atom
**SG**: P4/mmm, No. 123
**Excess energy over the best structure of this formula in the dataset**: 995 meV/atom